Below is crystalline Hf2TaTe at its relaxed geometry, with properties calculated at the PBE level.

CIF file:
```
data_Hf2TaTe
_cell_length_a 3.6426
_cell_length_b 3.6426
_cell_length_c 6.3132
_cell_angle_alpha 90.00
_cell_angle_beta 90.00
_cell_angle_gamma 90.00
_symmetry_space_group_name_H-M 'P 1'
_symmetry_Int_Tables_number 1
_symmetry_space_group_name_Hall 'P 1'
loop_
_atom_site_label
_atom_site_type_symbol
_atom_site_fract_x
_atom_site_fract_y
_atom_site_fract_z
Hf1 Hf 0.0000 0.0000 0.2403
Hf2 Hf 0.0000 0.0000 0.7597
Ta1 Ta 0.5000 0.5000 0.0000
Te1 Te 0.5000 0.5000 0.5000
```

Computed properties:
raw formation energy	-0.230	eV/atom
SG	P4/mmm (123)

Below is crystalline Mn2CrRhC at its relaxed geometry, with properties calculated at the PBE level.

CIF file:
```
data_Mn2CrRhC
_cell_length_a 3.8212
_cell_length_b 3.8212
_cell_length_c 3.8962
_cell_angle_alpha 90.00
_cell_angle_beta 90.00
_cell_angle_gamma 90.00
_symmetry_space_group_name_H-M 'P 1'
_symmetry_Int_Tables_number 1
_symmetry_space_group_name_Hall 'P 1'
loop_
_atom_site_label
_atom_site_type_symbol
_atom_site_fract_x
_atom_site_fract_y
_atom_site_fract_z
Mn1 Mn 0.0000 0.5000 0.0000
Mn2 Mn 0.5000 0.0000 0.0000
Cr1 Cr 0.0000 0.0000 0.5000
Rh1 Rh 0.5000 0.5000 0.5000
C1 C 0.0000 0.0000 0.0000
```

Computed properties:
formation energy from the elements	-0.03	eV/f.u.
SG	P4/mmm (123)

Below is crystalline MgBe2Pt at its relaxed geometry, with properties calculated at the PBE level.

CIF file:
```
data_MgBe2Pt
_cell_length_a 2.8424
_cell_length_b 3.7246
_cell_length_c 4.9251
_cell_angle_alpha 90.00
_cell_angle_beta 106.55
_cell_angle_gamma 90.00
_symmetry_space_group_name_H-M 'P 1'
_symmetry_Int_Tables_number 1
_symmetry_space_group_name_Hall 'P 1'
loop_
_atom_site_label
_atom_site_type_symbol
_atom_site_fract_x
_atom_site_fract_y
_atom_site_fract_z
Mg1 Mg 0.0000 0.0000 0.0000
Be1 Be 0.2619 0.0000 0.5231
Be2 Be 0.3817 0.5000 0.7616
Pt1 Pt 0.6776 0.5000 0.3499
```

Computed properties:
formation energy from the elements	-1.22	eV/f.u.
SG	Pm (6)

Below is crystalline Ac3PmTl2 at its relaxed geometry, with properties calculated at the PBE level.

CIF file:
```
data_Ac3PmTl2
_cell_length_a 9.7775
_cell_length_b 9.7775
_cell_length_c 9.7775
_cell_angle_alpha 132.33
_cell_angle_beta 71.07
_cell_angle_gamma 130.62
_symmetry_space_group_name_H-M 'P 1'
_symmetry_Int_Tables_number 1
_symmetry_space_group_name_Hall 'P 1'
loop_
_atom_site_label
_atom_site_type_symbol
_atom_site_fract_x
_atom_site_fract_y
_atom_site_fract_z
Ac1 Ac 0.0288 0.7500 0.2788
Ac2 Ac 0.2500 0.2500 0.0000
Ac3 Ac 0.4712 0.7500 0.7212
Ac4 Ac 0.5288 0.2500 0.2788
Ac5 Ac 0.7500 0.7500 0.0000
Ac6 Ac 0.9712 0.2500 0.7212
Pm1 Pm 0.0000 0.5000 0.5000
Pm2 Pm 0.5000 0.0000 0.5000
Tl1 Tl 0.1344 0.2064 0.3408
Tl2 Tl 0.3656 0.7064 0.0719
Tl3 Tl 0.6344 0.2936 0.9281
Tl4 Tl 0.8656 0.7936 0.6592
```

Computed properties:
offset from the most stable computed form	207	meV/atom
formation energy from the elements	-0.08	eV/f.u.
SG	Ibam (72)

Below is crystalline KTi2Ni at its relaxed geometry, with properties calculated at the PBE level.

CIF file:
```
data_KTi2Ni
_cell_length_a 8.6500
_cell_length_b 8.6500
_cell_length_c 8.6500
_cell_angle_alpha 143.45
_cell_angle_beta 143.45
_cell_angle_gamma 52.65
_symmetry_space_group_name_H-M 'P 1'
_symmetry_Int_Tables_number 1
_symmetry_space_group_name_Hall 'P 1'
loop_
_atom_site_label
_atom_site_type_symbol
_atom_site_fract_x
_atom_site_fract_y
_atom_site_fract_z
K1 K 0.3750 0.6250 0.7500
K2 K 0.6250 0.3750 0.2500
Ti1 Ti 0.0000 0.0000 0.0000
Ti2 Ti 0.0000 0.0000 0.5000
Ti3 Ti 0.0000 0.5000 0.0000
Ti4 Ti 0.5000 0.0000 0.5000
Ni1 Ni 0.1250 0.8750 0.2500
Ni2 Ni 0.8750 0.1250 0.7500
```

Computed properties:
offset from the most stable computed form	76	meV/atom
formation energy from the elements	4.19	eV/f.u.
SG	I4_1/amd (141)

Below is crystalline BaAcPmSn at its relaxed geometry, with properties calculated at the PBE level.

CIF file:
```
data_BaAcPmSn
_cell_length_a 5.9207
_cell_length_b 5.9207
_cell_length_c 5.9207
_cell_angle_alpha 60.00
_cell_angle_beta 60.00
_cell_angle_gamma 60.00
_symmetry_space_group_name_H-M 'P 1'
_symmetry_Int_Tables_number 1
_symmetry_space_group_name_Hall 'P 1'
loop_
_atom_site_label
_atom_site_type_symbol
_atom_site_fract_x
_atom_site_fract_y
_atom_site_fract_z
Ba1 Ba 0.0000 0.0000 0.0000
Ac1 Ac 0.2500 0.2500 0.2500
Pm1 Pm 0.5000 0.5000 0.5000
Sn1 Sn 0.7500 0.7500 0.7500
```

Computed properties:
formation energy from the elements	-0.28	eV/f.u.
SG	F-43m (216)

Below is crystalline Tm6ZnCo at its relaxed geometry, with properties calculated at the PBE level.

CIF file:
```
data_Tm6ZnCo
_cell_length_a 6.4455
_cell_length_b 6.4455
_cell_length_c 6.4345
_cell_angle_alpha 101.16
_cell_angle_beta 101.16
_cell_angle_gamma 117.63
_symmetry_space_group_name_H-M 'P 1'
_symmetry_Int_Tables_number 1
_symmetry_space_group_name_Hall 'P 1'
loop_
_atom_site_label
_atom_site_type_symbol
_atom_site_fract_x
_atom_site_fract_y
_atom_site_fract_z
Tm1 Tm 0.0395 0.4087 0.2439
Tm2 Tm 0.2333 0.2333 0.7660
Tm3 Tm 0.4087 0.0395 0.2439
Tm4 Tm 0.5913 0.9605 0.7561
Tm5 Tm 0.7667 0.7667 0.2340
Tm6 Tm 0.9605 0.5913 0.7561
Zn1 Zn 0.5000 0.5000 0.5000
Co1 Co 0.0000 0.0000 0.0000
```

Computed properties:
offset from the most stable computed form	106	meV/atom
formation energy from the elements	0.04	eV/f.u.
SG	C2/m (12)

Below is crystalline Li3U3Te8Au at its relaxed geometry, with properties calculated at the PBE level.

CIF file:
```
data_Li3U3Te8Au
_cell_length_a 8.3921
_cell_length_b 8.3921
_cell_length_c 8.5991
_cell_angle_alpha 118.52
_cell_angle_beta 118.52
_cell_angle_gamma 61.97
_symmetry_space_group_name_H-M 'P 1'
_symmetry_Int_Tables_number 1
_symmetry_space_group_name_Hall 'P 1'
loop_
_atom_site_label
_atom_site_type_symbol
_atom_site_fract_x
_atom_site_fract_y
_atom_site_fract_z
Li1 Li 0.0000 0.0000 0.0000
Li2 Li 0.0000 0.5000 0.0000
Li3 Li 0.5000 0.0000 0.0000
U1 U 0.0000 0.5000 0.5000
U2 U 0.5000 0.0000 0.5000
U3 U 0.5000 0.5000 0.5000
Te1 Te 0.2331 0.2331 0.7399
Te2 Te 0.2432 0.2432 0.2360
Te3 Te 0.2610 0.7366 0.2378
Te4 Te 0.2634 0.7390 0.7622
Te5 Te 0.7366 0.2610 0.2378
Te6 Te 0.7390 0.2634 0.7622
Te7 Te 0.7568 0.7568 0.7640
Te8 Te 0.7669 0.7669 0.2601
Au1 Au 0.0000 0.0000 0.5000
```

Computed properties:
raw formation energy	-0.613	eV/atom
SG	C2/m (12)

Below is crystalline PmPrMoN3 at its relaxed geometry, with properties calculated at the PBE level.

CIF file:
```
data_PmPrMoN3
_cell_length_a 7.5488
_cell_length_b 3.5811
_cell_length_c 8.3385
_cell_angle_alpha 90.00
_cell_angle_beta 98.73
_cell_angle_gamma 90.00
_symmetry_space_group_name_H-M 'P 1'
_symmetry_Int_Tables_number 1
_symmetry_space_group_name_Hall 'P 1'
loop_
_atom_site_label
_atom_site_type_symbol
_atom_site_fract_x
_atom_site_fract_y
_atom_site_fract_z
Pm1 Pm 0.1341 0.2500 0.1598
Pm2 Pm 0.8659 0.7500 0.8402
Pr1 Pr 0.3260 0.7500 0.8522
Pr2 Pr 0.6740 0.2500 0.1478
Mo1 Mo 0.4354 0.7500 0.3854
Mo2 Mo 0.5646 0.2500 0.6146
N1 N 0.1038 0.2500 0.8707
N2 N 0.3368 0.2500 0.4393
N3 N 0.3905 0.7500 0.1471
N4 N 0.6095 0.2500 0.8529
N5 N 0.6632 0.7500 0.5607
N6 N 0.8962 0.7500 0.1293
```

Computed properties:
raw formation energy	-0.891	eV/atom
SG	P2_1/m (11)

Below is crystalline Ca2Ge3Pd2 at its relaxed geometry, with properties calculated at the PBE level.

CIF file:
```
data_Ca2Ge3Pd2
_cell_length_a 5.6587
_cell_length_b 5.6587
_cell_length_c 6.8635
_cell_angle_alpha 113.82
_cell_angle_beta 113.82
_cell_angle_gamma 44.99
_symmetry_space_group_name_H-M 'P 1'
_symmetry_Int_Tables_number 1
_symmetry_space_group_name_Hall 'P 1'
loop_
_atom_site_label
_atom_site_type_symbol
_atom_site_fract_x
_atom_site_fract_y
_atom_site_fract_z
Ca1 Ca 0.1533 0.1533 0.2737
Ca2 Ca 0.8467 0.8467 0.7263
Ge1 Ge 0.3838 0.3838 0.0524
Ge2 Ge 0.5000 0.5000 0.5000
Ge3 Ge 0.6162 0.6162 0.9476
Pd1 Pd 0.1266 0.1266 0.7236
Pd2 Pd 0.8734 0.8734 0.2764
```

Computed properties:
formation energy from the elements	-4.33	eV/f.u.
SG	C2/m (12)